Compound: ZnInCo2Sb
Source: Alexandria via LeMat-Bulk
Functional: GGA-PBE
Structure: relaxed

## Properties
ΔE_f (raw) in eV per atom: 1.003
Total moment in μB per formula unit: 3.36
Energy in Ha/atom: -0.127

Lattice parameters (Å, degrees): 4.778 4.778 5.788 90.00 90.00 90.00
Sites, in units of the cell vectors:
1 Zn 0.000 0.000 0.000
2 In 0.500 0.500 0.000
3 Co 0.000 0.500 0.500
4 Co 0.500 0.000 0.500
5 Sb 0.500 0.500 0.500